Computed, not measured: a relaxed structure of Nd11Sn10 at the PBE level of DFT.

Results
DFT formation energy	-0.7624	eV/atom

Geometry as CIF:
```
data_Nd11Sn10
_chemical_formula_sum 'Nd22 Sn20'
_cell_length_a 12.274
_cell_length_b 12.274
_cell_length_c 12.274
_cell_angle_alpha 121.52
_cell_angle_beta 121.52
_cell_angle_gamma 87.38
_symmetry_space_group_name_H-M 'P 1'
_symmetry_Int_Tables_number 1
loop_
_symmetry_equiv_pos_as_xyz
'x,y,z'
loop_
_atom_site_label
_atom_site_type_symbol
_atom_site_fract_x
_atom_site_fract_y
_atom_site_fract_z
Nd1 Nd 0.059 0.310 0.749
Nd2 Nd 0.102 0.431 0.329
Nd3 Nd 0.102 0.774 0.671
Nd4 Nd 0.164 0.164 0.000
Nd5 Nd 0.226 0.898 0.329
Nd6 Nd 0.310 0.059 0.749
Nd7 Nd 0.310 0.561 0.251
Nd8 Nd 0.325 0.325 0.650
Nd9 Nd 0.325 0.675 0.000
Nd10 Nd 0.431 0.102 0.329
Nd11 Nd 0.439 0.690 0.749
Nd12 Nd 0.561 0.310 0.251
Nd13 Nd 0.569 0.898 0.671
Nd14 Nd 0.675 0.325 0.000
Nd15 Nd 0.675 0.675 0.350
Nd16 Nd 0.690 0.439 0.749
Nd17 Nd 0.690 0.941 0.251
Nd18 Nd 0.774 0.102 0.671
Nd19 Nd 0.836 0.836 0.000
Nd20 Nd 0.898 0.226 0.329
Nd21 Nd 0.898 0.569 0.671
Nd22 Nd 0.941 0.690 0.251
Sn1 Sn 0.030 0.030 0.415
Sn2 Sn 0.030 0.615 0.000
Sn3 Sn 0.126 0.126 0.253
Sn4 Sn 0.126 0.874 0.000
Sn5 Sn 0.141 0.500 0.641
Sn6 Sn 0.250 0.750 0.500
Sn7 Sn 0.385 0.385 0.415
Sn8 Sn 0.385 0.970 0.000
Sn9 Sn 0.391 0.391 0.000
Sn10 Sn 0.500 0.141 0.641
Sn11 Sn 0.500 0.859 0.359
Sn12 Sn 0.609 0.609 0.000
Sn13 Sn 0.615 0.030 0.000
Sn14 Sn 0.615 0.615 0.585
Sn15 Sn 0.750 0.250 0.500
Sn16 Sn 0.859 0.500 0.359
Sn17 Sn 0.874 0.126 0.000
Sn18 Sn 0.874 0.874 0.747
Sn19 Sn 0.970 0.385 0.000
Sn20 Sn 0.970 0.970 0.585
```